1.
Material: Sm3Y3MgTe8
Method: DFT, PBE
State: relaxed

D(E_F) ... 0.307 states/eV per atom
Formation energy (no corrections) ... -1322 meV/atom

Unit cell a=8.7638 b=8.7638 c=21.5993 alpha=90.00 beta=90.00 gamma=120.00
Space group R-3m (No. 166, hexagonal axes)
Unique sites:
Sm 0.0000 0.5000 0.0000
Y 0.0000 0.5000 0.5000
Mg 0.0000 0.0000 0.5000
Te 0.0000 0.0000 0.2478
Te 0.0041 0.5021 0.2469



2.
Material: SmScPbO2
Method: DFT, PBE
State: relaxed

D(E_F) ... 0.356 states/eV per atom
Formation energy (no corrections) ... -2429 meV/atom

Unit cell a=3.782 b=3.782 c=14.044 alpha=90.00 beta=90.00 gamma=90.00
Space group I4mm (No. 107)
Unique sites:
Sm 0.000 0.000 0.000
Sc 0.000 0.000 0.345
Pb 0.000 0.000 0.675
O 0.000 0.500 0.409



3.
Material: SrPmBi2
Method: DFT, PBE
State: relaxed

D(E_F) ... 1.048 states/eV per atom
E_tot ... -3.769 eV/atom

Unit cell a=3.8738 b=3.8738 c=35.2249 alpha=90.00 beta=90.00 gamma=120.00
Space group R-3m (No. 166, hexagonal axes)
Unique sites:
Sr 0.0000 0.0000 0.0000
Pm 0.0000 0.0000 0.5000
Bi 0.0000 0.0000 0.0956



4.
Material: CeGdTmTl
Method: DFT, PBE
State: relaxed

D(E_F) ... 2.243 states/eV per atom
E_tot ... -6.694 eV/atom

Unit cell a=7.688 b=7.688 c=7.688 alpha=90.00 beta=90.00 gamma=90.00
Space group F-43m (No. 216)
Unique sites:
Ce 0.000 0.000 0.000
Gd 0.250 0.250 0.250
Tm 0.250 0.250 0.750
Tl 0.000 0.000 0.500



5.
Material: SrCa2Cu
Method: DFT, PBE
State: relaxed

D(E_F) ... 0.965 states/eV per atom
E_tot ... -2.266 eV/atom

Unit cell a=4.847 b=4.988 c=5.581 alpha=90.00 beta=90.00 gamma=90.00
Space group Pmmm (No. 47)
Unique sites:
Sr 0.000 0.000 0.000
Ca 0.000 0.500 0.500
Ca 0.500 0.000 0.500
Cu 0.500 0.500 0.000



6.
Material: Tb2DyEr3Te6
Method: DFT, PBE
State: relaxed

D(E_F) ... 0.520 states/eV per atom
Formation energy (no corrections) ... -1256 meV/atom

Unit cell a=18.947 b=4.321 c=8.726 alpha=90.00 beta=103.73 gamma=90.00
Space group C2/m (No. 12)
Unique sites:
Tb 0.167 0.000 0.334
Dy 0.000 0.500 0.000
Er 0.000 0.500 0.500
Er 0.167 0.000 0.833
Te 0.001 0.000 0.748
Te 0.165 0.500 0.586
Te 0.167 0.500 0.080



7.
Material: LiIr2OsO
Method: DFT, PBE
State: relaxed

D(E_F) ... 0.912 states/eV per atom
Formation energy (no corrections) ... 739 meV/atom

Unit cell a=4.901 b=4.901 c=3.688 alpha=90.00 beta=90.00 gamma=90.00
Space group P4/mmm (No. 123)
Unique sites:
Li 0.000 0.000 0.000
Ir 0.000 0.500 0.500
Os 0.500 0.500 0.500
O 0.500 0.500 0.000



8.
Material: Mn2RuAu
Method: DFT, PBE
State: relaxed

D(E_F) ... 0.937 states/eV per atom
E_tot ... -7.647 eV/atom

Unit cell a=3.115 b=3.115 c=6.223 alpha=90.00 beta=90.00 gamma=90.00
Space group P4/mmm (No. 123)
Unique sites:
Mn 0.000 0.000 0.229
Ru 0.500 0.500 0.000
Au 0.500 0.500 0.500



9.
Material: NaBeCdCo2
Method: DFT, PBE
State: relaxed

D(E_F) ... 2.167 states/eV per atom
E_tot ... -2.126 eV/atom

Unit cell a=4.427 b=4.427 c=4.817 alpha=90.00 beta=90.00 gamma=90.00
Space group P4/mmm (No. 123)
Unique sites:
Na 0.000 0.000 0.000
Be 0.500 0.500 0.500
Cd 0.000 0.000 0.500
Co 0.000 0.500 0.000



10.
Material: BaNaH2
Method: DFT, PBE
State: relaxed

D(E_F) ... 0.359 states/eV per atom
E_tot ... -2.610 eV/atom

Unit cell a=3.7520 b=3.7520 c=20.1196 alpha=90.00 beta=90.00 gamma=120.00
Space group R3m (No. 160, hexagonal axes)
Unique sites:
Ba 0.0000 0.0000 0.0000
Na 0.0000 0.0000 0.8273
H 0.0000 0.0000 0.4207
H 0.0000 0.0000 0.5786



11.
Material: PaTl2F6
Method: DFT, PBE
State: relaxed

D(E_F) ... 0.018 states/eV per atom
Formation energy (no corrections) ... -2964 meV/atom

Unit cell a=5.938 b=5.938 c=12.449 alpha=90.00 beta=90.00 gamma=90.00
Space group P4_2/mnm (No. 136)
Unique sites:
Pa 0.000 0.000 0.000
Tl 0.000 0.000 0.337
F 0.178 0.178 0.131
F 0.236 0.236 0.500



12.
Material: Tl5Bi4Au4
Method: DFT, PBE
State: relaxed

D(E_F) ... 0.501 states/eV per atom
E_tot ... -3.088 eV/atom

Unit cell a=12.685 b=12.685 c=4.466 alpha=90.00 beta=90.00 gamma=90.00
Space group I4/m (No. 87)
Unique sites:
Tl 0.000 0.000 0.000
Tl 0.124 0.808 0.500
Bi 0.097 0.387 0.500
Au 0.067 0.232 0.000